(1)
A relaxed Cs2KHg3F12 crystal. Source: Alexandria, functional PBE.

Summary:
Fermi-level density of states: 0.5382 states/eV/atom
raw formation energy: -1.741 eV/atom

Unit cell a=7.8251 b=7.8251 c=7.8251 alpha=65.97 beta=65.97 gamma=65.97
Closest atoms and distances in Å follow each position.
Fractional coordinates of all 18 atoms:
F1 0.1257 0.1257 0.5874  1 Hg 2.07
F2 0.1257 0.5874 0.1257  1 Hg 2.07
F3 0.4126 0.8743 0.8743  1 Hg 2.07
F4 0.5874 0.1257 0.1257  1 Hg 2.07
F5 0.2849 0.8866 0.2849  2 Hg 2.27
F6 0.2849 0.2849 0.8866  2 Hg 2.27
F7 0.8743 0.4126 0.8743  1 Hg 2.07
F8 0.7151 0.7151 0.1134  2 Hg 2.27
F9 0.8866 0.2849 0.2849  2 Hg 2.27
F10 0.7151 0.1134 0.7151  2 Hg 2.27
F11 0.8743 0.8743 0.4126  1 Hg 2.07
F12 0.1134 0.7151 0.7151  2 Hg 2.27
Hg1 0.5000 0.0000 0.0000  6 F 2.07-2.27
Hg2 0.0000 0.0000 0.5000  6 F 2.07-2.27
Hg3 0.0000 0.5000 0.0000  6 F 2.07-2.27
Cs1 0.3863 0.3863 0.3863  3 F 2.99
Cs2 0.6137 0.6137 0.6137  3 F 2.99
K1 0.0000 0.0000 0.0000  6 F 2.82


(2)
A relaxed ThAlAu2 crystal. Source: Alexandria, functional PBE.

Summary:
Fermi-level density of states: 0.8701 states/eV/atom
formation enthalpy at 0 K: -0.448 eV per atom

Unit cell a=5.3336 b=6.2020 c=6.2020 alpha=112.52 beta=90.00 gamma=90.00
Closest atoms and distances in Å follow each position.
Fractional coordinates of all 8 atoms:
Au1 0.2500 0.2014 0.3927  2 Al 2.63, 1 Au 2.80
Au2 0.7500 0.7986 0.6073  2 Al 2.63, 1 Au 2.80
Au3 0.7500 0.3927 0.2014  2 Al 2.63, 1 Au 2.80
Au4 0.2500 0.6073 0.7986  2 Al 2.63, 1 Au 2.80
Al1 0.5000 0.0000 0.0000  4 Au 2.63, 2 Al 2.67
Al2 0.0000 0.0000 0.0000  4 Au 2.63, 2 Al 2.67
Th1 0.2500 0.6838 0.3162  8 Au 3.06-3.20
Th2 0.7500 0.3162 0.6838  8 Au 3.06-3.20


(3)
A relaxed Li3Ac2InNi12 crystal. Source: Alexandria, functional PBE.

Summary:
Fermi-level density of states: 1.5166 states/eV/atom
formation enthalpy at 0 K: 0.155 eV per atom

Unit cell a=9.5500 b=9.5500 c=9.5500 alpha=37.69 beta=37.69 gamma=37.69
Closest atoms and distances in Å follow each position.
Fractional coordinates of all 18 atoms:
Ac1 0.3631 0.3631 0.3631  6 Ni 2.87-3.02
Ac2 0.6369 0.6369 0.6369  6 Ni 2.87-3.02
Ni1 0.1302 0.5281 0.1302  4 Ni 2.42-2.46, 1 Li 2.58
Ni2 0.4719 0.8698 0.8698  4 Ni 2.42-2.46, 1 Li 2.58
Ni3 0.5853 0.2045 0.5853  2 Li 2.31, 4 Ni 2.35-2.42
Ni4 0.2045 0.5853 0.5853  2 Li 2.31, 4 Ni 2.35-2.42
Ni5 0.4147 0.7955 0.4147  2 Li 2.31, 4 Ni 2.35-2.42
Ni6 0.8698 0.8698 0.4719  4 Ni 2.42-2.46, 1 Li 2.58
Ni7 0.8698 0.4719 0.8698  4 Ni 2.42-2.46, 1 Li 2.58
Ni8 0.1302 0.1302 0.5281  4 Ni 2.42-2.46, 1 Li 2.58
Ni9 0.4147 0.4147 0.7955  2 Li 2.31, 4 Ni 2.35-2.42
Ni10 0.5281 0.1302 0.1302  4 Ni 2.42-2.46, 1 Li 2.58
Ni11 0.5853 0.5853 0.2045  2 Li 2.31, 4 Ni 2.35-2.42
Ni12 0.7955 0.4147 0.4147  2 Li 2.31, 4 Ni 2.35-2.42
Li1 0.0000 0.5000 0.0000  6 Ni 2.31-2.58
Li2 0.0000 0.0000 0.5000  6 Ni 2.31-2.58
Li3 0.5000 0.0000 0.0000  6 Ni 2.31-2.58
In1 0.0000 0.0000 0.0000  6 Ni 2.85


(4)
A relaxed LiZr2Cl crystal. Source: Alexandria, functional PBE.

Summary:
ΔE to the lowest computed polymorph: 733 meV per atom
Fermi-level density of states: 0.5006 states/eV/atom
raw formation energy: 0.181 eV/atom

Unit cell a=4.7514 b=4.7514 c=4.7514 alpha=60.00 beta=60.00 gamma=60.00
Closest atoms and distances in Å follow each position.
Fractional coordinates of all 4 atoms:
Zr1 0.2500 0.2500 0.2500  4 Cl 2.91, 4 Li 2.91
Zr2 0.7500 0.7500 0.7500  4 Cl 2.91, 4 Li 2.91
Cl1 0.5000 0.5000 0.5000  8 Zr 2.91
Li1 0.0000 0.0000 0.0000  8 Zr 2.91


(5)
A relaxed Pm3P2Br2 crystal. Source: Alexandria, functional PBE.

Summary:
Fermi-level density of states: 0.2743 states/eV/atom
raw formation energy: -1.560 eV/atom

Unit cell a=4.0934 b=7.1597 c=7.5824 alpha=99.86 beta=90.01 gamma=106.65
Closest atoms and distances in Å follow each position.
Fractional coordinates of all 7 atoms:
P1 0.6250 0.2498 0.8943  5 Pm 2.80-2.87
P2 0.3750 0.7502 0.1057  5 Pm 2.80-2.87
Br1 0.8710 0.7408 0.6237  4 Pm 3.08-3.15
Br2 0.1290 0.2592 0.3763  4 Pm 3.08-3.15
Pm1 0.2377 0.4750 0.7790  3 P 2.80-2.83, 2 Br 3.11
Pm2 0.0000 0.0000 0.0000  4 P 2.87, 2 Br 3.08
Pm3 0.7623 0.5250 0.2210  3 P 2.80-2.83, 2 Br 3.11


(6)
A relaxed Cs2Sr2La crystal. Source: Alexandria, functional PBE.

Summary:
Fermi-level density of states: 0.9729 states/eV/atom
formation enthalpy at 0 K: 0.567 eV per atom

Unit cell a=12.2361 b=12.2361 c=4.2220 alpha=90.00 beta=90.00 gamma=90.00
Closest atoms and distances in Å follow each position.
Fractional coordinates of all 10 atoms:
Cs1 0.6770 0.8230 0.5000  6 Sr 4.07-4.28, 2 Cs 4.22
Cs2 0.3230 0.1770 0.5000  6 Sr 4.07-4.28, 2 Cs 4.22
Cs3 0.8230 0.3230 0.5000  6 Sr 4.07-4.28, 2 Cs 4.22
Cs4 0.1770 0.6770 0.5000  6 Sr 4.07-4.28, 2 Cs 4.22
La1 0.0000 0.0000 0.0000  2 La 4.22
La2 0.5000 0.5000 0.0000  2 La 4.22
Sr1 0.8780 0.6220 0.0000  6 Cs 4.07-4.28, 3 Sr 4.22
Sr2 0.3780 0.8780 0.0000  6 Cs 4.07-4.28, 3 Sr 4.22
Sr3 0.6220 0.1220 0.0000  6 Cs 4.07-4.28, 3 Sr 4.22
Sr4 0.1220 0.3780 0.0000  6 Cs 4.07-4.28, 3 Sr 4.22


(7)
A relaxed CsAc3B4S12 crystal. Source: Alexandria, functional PBE.

Summary:
Fermi-level density of states: 0.5663 states/eV/atom
raw formation energy: -0.976 eV/atom

Unit cell a=8.6348 b=8.6348 c=8.6348 alpha=99.96 beta=99.96 gamma=99.96
Closest atoms and distances in Å follow each position.
Fractional coordinates of all 20 atoms:
S1 0.1120 0.8880 0.5000  1 B 1.82
S2 0.5000 0.1120 0.8880  1 B 1.82
S3 0.0054 0.1868 0.3950  1 B 1.79
S4 0.1868 0.3950 0.0054  1 B 1.79
S5 0.5000 0.3622 0.6378  1 B 1.82
S6 0.9946 0.6050 0.8132  1 B 1.79
S7 0.3950 0.0054 0.1868  1 B 1.79
S8 0.6050 0.8132 0.9946  1 B 1.79
S9 0.3622 0.6378 0.5000  1 B 1.82
S10 0.8880 0.5000 0.1120  1 B 1.82
S11 0.6378 0.5000 0.3622  1 B 1.82
S12 0.8132 0.9946 0.6050  1 B 1.79
Ac1 0.5307 0.4693 0.0000  6 S 2.94-3.06
Ac2 0.4693 0.0000 0.5307  6 S 2.94-3.06
Ac3 0.0000 0.5307 0.4693  6 S 2.94-3.06
B1 0.9742 0.0258 0.5000  3 S 1.79-1.82
B2 0.5000 0.5000 0.5000  3 S 1.82
B3 0.5000 0.9742 0.0258  3 S 1.79-1.82
B4 0.0258 0.5000 0.9742  3 S 1.79-1.82
Cs1 0.0000 0.0000 0.0000  6 S 3.50


(8)
A relaxed NdYThSc crystal. Source: Alexandria, functional PBE.

Summary:
ΔE to the lowest computed polymorph: 0 meV per atom
Fermi-level density of states: 1.7961 states/eV/atom
formation enthalpy at 0 K: 0.102 eV per atom

Unit cell a=3.4400 b=5.3574 c=6.8694 alpha=90.00 beta=104.45 gamma=90.00
Closest atoms and distances in Å follow each position.
Fractional coordinates of all 4 atoms:
Th1 0.9899 0.5000 0.9116  1 Y 3.24, 2 Th 3.44, 4 Nd 3.57, 2 Sc 3.63
Y1 0.7479 0.5000 0.4241  2 Nd 3.22, 1 Th 3.24, 2 Y 3.44, 4 Sc 3.52
Nd1 0.6109 0.0000 0.1549  2 Y 3.22, 1 Sc 3.37, 2 Nd 3.44, 4 Th 3.57
Sc1 0.3592 0.0000 0.6486  3 Nd 3.37-3.71, 2 Sc 3.44, 4 Y 3.52, 4 Th 3.63


(9)
A relaxed Sr2AlSn2 crystal. Source: Alexandria, functional PBE.

Summary:
ΔE to the lowest computed polymorph: 29 meV per atom
Fermi-level density of states: 0.6314 states/eV/atom
formation enthalpy at 0 K: -0.436 eV per atom

Unit cell a=7.7152 b=7.7152 c=5.1456 alpha=90.00 beta=90.00 gamma=90.00
Closest atoms and distances in Å follow each position.
Fractional coordinates of all 10 atoms:
Sn1 0.8634 0.6366 0.0000  1 Sn 2.98, 2 Al 3.00, 2 Sr 3.32
Sn2 0.6366 0.1366 0.0000  1 Sn 2.98, 2 Al 3.00, 2 Sr 3.32
Sn3 0.1366 0.3634 0.0000  1 Sn 2.98, 2 Al 3.00, 2 Sr 3.32
Sn4 0.3634 0.8634 0.0000  1 Sn 2.98, 2 Al 3.00, 2 Sr 3.32
Sr1 0.6712 0.8288 0.5000  6 Sn 3.32-3.51
Sr2 0.8288 0.3288 0.5000  6 Sn 3.32-3.51
Sr3 0.3288 0.1712 0.5000  6 Sn 3.32-3.51
Sr4 0.1712 0.6712 0.5000  6 Sn 3.32-3.51
Al1 0.0000 0.0000 0.0000  4 Sn 3.00
Al2 0.5000 0.5000 0.0000  4 Sn 3.00


(10)
A relaxed AlCr2Ge2 crystal. Source: Alexandria, functional PBE.

Summary:
ΔE to the lowest computed polymorph: 38 meV per atom
Fermi-level density of states: 0.8226 states/eV/atom
formation enthalpy at 0 K: 0.159 eV per atom

Unit cell a=6.8546 b=6.8546 c=2.9980 alpha=90.00 beta=90.00 gamma=90.00
Closest atoms and distances in Å follow each position.
Fractional coordinates of all 10 atoms:
Ge1 0.8575 0.6425 0.0000  6 Cr 2.49-2.52, 2 Al 2.64, 1 Ge 2.76
Ge2 0.6425 0.1425 0.0000  6 Cr 2.49-2.52, 2 Al 2.64, 1 Ge 2.76
Ge3 0.3575 0.8575 0.0000  6 Cr 2.49-2.52, 2 Al 2.64, 1 Ge 2.76
Ge4 0.1425 0.3575 0.0000  6 Cr 2.49-2.52, 2 Al 2.64, 1 Ge 2.76
Cr1 0.8477 0.3477 0.5000  6 Ge 2.49-2.52
Cr2 0.1523 0.6523 0.5000  6 Ge 2.49-2.52
Cr3 0.3477 0.1523 0.5000  6 Ge 2.49-2.52
Cr4 0.6523 0.8477 0.5000  6 Ge 2.49-2.52
Al1 0.5000 0.5000 0.0000  4 Ge 2.64
Al2 0.0000 0.0000 0.0000  4 Ge 2.64


(11)
A relaxed Tb3DyPd4 crystal. Source: Alexandria, functional PBE.

Summary:
Fermi-level density of states: 0.7225 states/eV/atom
formation enthalpy at 0 K: -0.871 eV per atom

Unit cell a=6.1020 b=6.1020 c=6.1020 alpha=109.47 beta=109.47 gamma=109.47
Closest atoms and distances in Å follow each position.
Fractional coordinates of all 8 atoms:
Pd1 0.4999 0.0000 0.0000  2 Dy 3.05, 6 Tb 3.05
Pd2 0.5001 0.5001 0.5001  2 Dy 3.05, 6 Tb 3.05
Pd3 0.0000 0.4999 0.0000  2 Dy 3.05, 6 Tb 3.05
Pd4 0.0000 0.0000 0.4999  2 Dy 3.05, 6 Tb 3.05
Dy1 0.0000 0.0000 0.0000  8 Pd 3.05
Tb1 0.5000 0.0000 0.5000  8 Pd 3.05
Tb2 0.5000 0.5000 0.0000  8 Pd 3.05
Tb3 0.0000 0.5000 0.5000  8 Pd 3.05


(12)
A relaxed Sr2TcRu crystal. Source: Alexandria, functional PBE.

Summary:
ΔE to the lowest computed polymorph: 246 meV per atom
Fermi-level density of states: 0.9464 states/eV/atom
formation enthalpy at 0 K: 0.422 eV per atom

Unit cell a=3.3893 b=3.3893 c=9.3556 alpha=90.00 beta=90.00 gamma=90.02
Closest atoms and distances in Å follow each position.
Fractional coordinates of all 4 atoms:
Sr1 0.0000 0.0000 0.9228  1 Tc 3.24, 4 Ru 3.33, 4 Sr 3.39
Sr2 0.5000 0.5000 0.3247  1 Ru 3.29, 4 Tc 3.36, 4 Sr 3.39
Ru1 0.5000 0.5000 0.6762  4 Tc 2.57
Tc1 0.0000 0.0000 0.5763  4 Ru 2.57


Which E belongs to each record? In order, -3.19 -4.88 -4.63 -5.03 -5.62 -1.43 -5.45 -6.14 -3.46 -6.29 -5.78 -5.33 eV/atom.